Record 1
A plane-wave DFT calculation with PBE-GGA was carried out for an optimized crystal structure of CaZr2Ni.

## Properties
- Symmetry: I4/mmm

Lattice parameters (Å, degrees): 5.9310 5.9310 5.9310 139.67 139.67 58.36
Last column: nearest neighbours and their distance in Å.
Element x y z (fractional)
Ca 0.0000 0.0000 0.0000  4 Ni 2.89
Zr 0.2500 0.7500 0.5000  4 Zr 2.89
Zr 0.7500 0.2500 0.5000  4 Zr 2.89
Ni 0.5000 0.5000 0.0000  4 Ca 2.89


Record 2
A plane-wave DFT calculation with PBE-GGA was carried out for an optimized crystal structure of TbNdZnPt.

## Properties
- Symmetry: F-43m

Lattice parameters (Å, degrees): 5.0824 5.0824 5.0824 60.00 60.00 60.00
Last column: nearest neighbours and their distance in Å.
Element x y z (fractional)
Tb 0.0000 0.0000 0.0000  4 Pt 3.11, 4 Zn 3.11
Nd 0.5000 0.5000 0.5000  4 Pt 3.11, 4 Zn 3.11
Zn 0.2500 0.2500 0.2500  4 Nd 3.11, 4 Tb 3.11
Pt 0.7500 0.7500 0.7500  4 Nd 3.11, 4 Tb 3.11


Record 3
A plane-wave DFT calculation with PBE-GGA was carried out for an optimized crystal structure of CeCd6Hg6.

## Properties
- Symmetry: Immm

Lattice parameters (Å, degrees): 7.7524 7.7524 7.7524 132.66 100.21 98.34
Last column: nearest neighbours and their distance in Å.
Element x y z (fractional)
Ce 0.0000 0.0000 0.0000  8 Hg 3.40-3.59
Cd 0.0000 0.0000 0.5000  4 Cd 2.97-3.11, 6 Hg 3.03-3.13
Cd 0.0000 0.5000 0.0000  4 Cd 2.97-3.11, 6 Hg 3.03-3.13
Cd 0.2425 0.5000 0.7425  4 Cd 2.97, 6 Hg 3.00-3.29
Cd 0.5000 0.0000 0.0000  4 Cd 2.97-3.11, 6 Hg 3.03-3.13
Cd 0.5000 0.5000 0.5000  4 Cd 2.97-3.11, 6 Hg 3.03-3.13
Cd 0.7575 0.5000 0.2575  4 Cd 2.97, 6 Hg 3.00-3.29
Hg 0.1767 0.6767 0.5000  6 Cd 3.00-3.03
Hg 0.3358 0.3358 0.0000  6 Cd 3.05-3.06, 1 Hg 3.33, 1 Ce 3.40
Hg 0.3491 0.0000 0.3491  1 Hg 3.00, 6 Cd 3.13-3.29
Hg 0.6509 0.0000 0.6509  1 Hg 3.00, 6 Cd 3.13-3.29
Hg 0.6642 0.6642 0.0000  6 Cd 3.05-3.06, 1 Hg 3.33, 1 Ce 3.40
Hg 0.8233 0.3233 0.5000  6 Cd 3.00-3.03


It is found that the final energy values, taken in the order of the records, are -5.912, -4.892, -1.083 eV/atom.
It is found that the calculated formation energy values, taken in the order of the records, are 119, -275, -81 kJ/mol of formula units.